# 1
Compound: Sc2NiSbH
Source: Alexandria via LeMat-Bulk
Functional: PBE
Structure: optimized geometry

a b c (Å): 4.4688 4.4688 3.8784
angles (deg): 90.00 90.00 90.00
Atoms (fractional coordinates):
1 Sc 0.0000 0.5000 0.0000
2 Sc 0.5000 0.0000 0.0000
3 Ni 0.0000 0.0000 0.5000
4 Sb 0.5000 0.5000 0.5000
5 H 0.0000 0.0000 0.0000

## Properties
Uncorrected energy   -5.727 eV per atom

# 2
Compound: AcGaBiAu
Source: Alexandria via LeMat-Bulk
Functional: PBE
Structure: optimized geometry

a b c (Å): 5.3696 5.3696 5.3696
angles (deg): 60.00 60.00 60.00
Atoms (fractional coordinates):
1 Ac 0.0000 0.0000 0.0000
2 Ga 0.2500 0.2500 0.2500
3 Bi 0.5000 0.5000 0.5000
4 Au 0.7500 0.7500 0.7500

## Properties
DFT formation energy   -0.49 eV per atom
Uncorrected energy   -4.063 eV per atom

# 3
Compound: Ce2H4S
Source: Alexandria via LeMat-Bulk
Functional: PBE
Structure: optimized geometry

a b c (Å): 7.4659 7.4659 7.4659
angles (deg): 30.12 30.12 30.12
Atoms (fractional coordinates):
1 Ce 0.2459 0.2459 0.2459
2 Ce 0.7541 0.7541 0.7541
3 H 0.1353 0.1353 0.1353
4 H 0.4321 0.4321 0.4321
5 H 0.5679 0.5679 0.5679
6 H 0.8647 0.8647 0.8647
7 S 0.0000 0.0000 0.0000

## Properties
Uncorrected energy   -5.138 eV per atom

# 4
Compound: LaPmPdPt
Source: Alexandria via LeMat-Bulk
Functional: PBE
Structure: optimized geometry

a b c (Å): 4.6162 5.8110 5.8110
angles (deg): 39.52 90.00 90.00
Atoms (fractional coordinates):
1 La 0.0000 0.0000 0.0000
2 Pm 0.5000 0.2717 0.2717
3 Pd 0.5000 0.5495 0.5495
4 Pt 0.0000 0.7258 0.7258

## Properties
DFT formation energy   -1.01 eV per atom
Uncorrected energy   -6.242 eV per atom

# 5
Compound: MgCu2
Source: Alexandria via LeMat-Bulk
Functional: PBE
Structure: optimized geometry

a b c (Å): 7.3566 7.3566 2.7110
angles (deg): 90.00 90.00 120.00
Atoms (fractional coordinates):
1 Mg 0.0000 0.0000 0.0000
2 Mg 0.3333 0.6667 0.5000
3 Mg 0.6667 0.3333 0.5000
4 Cu 0.0000 0.3110 0.5000
5 Cu 0.0000 0.6454 0.0000
6 Cu 0.3110 0.0000 0.5000
7 Cu 0.3546 0.3546 0.0000
8 Cu 0.6454 0.0000 0.0000
9 Cu 0.6890 0.6890 0.5000

## Properties
DFT formation energy   0.03 eV per atom
Uncorrected energy   -3.234 eV per atom

# 6
Compound: K2RePt
Source: Alexandria via LeMat-Bulk
Functional: PBE
Structure: optimized geometry

a b c (Å): 3.9268 3.9268 5.6091
angles (deg): 90.00 90.00 90.00
Atoms (fractional coordinates):
1 K 0.0000 0.5000 0.0000
2 K 0.5000 0.0000 0.0000
3 Re 0.0000 0.0000 0.5000
4 Pt 0.5000 0.5000 0.5000

## Properties
DFT formation energy   1.09 eV per atom
Uncorrected energy   -4.078 eV per atom

# 7
Compound: Fe2HgRhN
Source: Alexandria via LeMat-Bulk
Functional: PBE
Structure: optimized geometry

a b c (Å): 3.9100 3.9100 4.2308
angles (deg): 90.00 90.00 90.00
Atoms (fractional coordinates):
1 Fe 0.0000 0.5000 0.0000
2 Fe 0.5000 0.0000 0.0000
3 Hg 0.0000 0.0000 0.5000
4 Rh 0.5000 0.5000 0.5000
5 N 0.5000 0.5000 0.0000

## Properties
Formation energy without anion corrections   0.090 eV per atom
Uncorrected energy   -6.491 eV per atom

# 8
Compound: Li2BRu
Source: Alexandria via LeMat-Bulk
Functional: PBE
Structure: optimized geometry

a b c (Å): 5.1329 5.1329 5.1329
angles (deg): 99.47 99.47 132.13
Atoms (fractional coordinates):
1 Li 0.0734 0.6250 0.9484
2 Li 0.3750 0.3234 0.4484
3 Li 0.6766 0.1250 0.0516
4 Li 0.8750 0.9266 0.5516
5 B 0.0000 0.0000 0.0000
6 B 0.7500 0.2500 0.5000
7 Ru 0.2500 0.7500 0.5000
8 Ru 0.5000 0.5000 0.0000

## Properties
DFT formation energy   0.37 eV per atom
Uncorrected energy   -4.576 eV per atom

Number 4 is which compound? LaPmPdPt